This record from the Alexandria database describes a relaxed Cs5K4 crystal. The functional is PBE.

The calculation puts the formation energy from the elements at 0.0068 eV/atom.

It has space group C2/m (No. 12), with a = 17.232 Å, b = 8.177 Å, c = 14.672 Å, α = 90.00°, β = 124.86° and γ = 90.00°. The asymmetric unit holds Cs at (0.000, 0.000, 0.000), Cs at (0.119, 0.000, 0.444), Cs at (0.236, 0.000, 0.882), K at (0.046, 0.500, 0.231) and K at (0.153, 0.500, 0.657).

=====

This record from the Alexandria database describes a relaxed SrAcSn2 crystal. The functional is PBE.

The calculation puts the formation energy from the elements at -0.5967 eV/atom.

It has space group P4/mmm (No. 123), with a = 5.386 Å, b = 5.386 Å, c = 4.620 Å, α = 90.00°, β = 90.00° and γ = 90.00°. The asymmetric unit holds Sr at (0.000, 0.000, 0.000), Ac at (0.500, 0.500, 0.000) and Sn at (0.000, 0.500, 0.500).

=====

This record from the Alexandria database describes a relaxed NaPd2RhO4 crystal. The functional is PBE.

As for the formation energy without anion corrections: -0.488 eV per atom.

It has space group I-42m (No. 121), with a = 5.575 Å, b = 5.575 Å, c = 6.737 Å, α = 90.00°, β = 90.00° and γ = 90.00°. The asymmetric unit holds Na at (0.000, 0.000, 0.000), Pd at (0.000, 0.500, 0.250), Rh at (0.000, 0.000, 0.500) and O at (0.174, 0.174, 0.714).

=====

This record from the Alexandria database describes a relaxed SrCa2Ti crystal. The functional is PBE.

For the excess energy over the best structure of this formula in the dataset, the calculation gives 0.209 eV/atom. The calculation puts the formation energy from the elements at 0.7049 eV/atom.

It has space group I-42d (No. 122), with a = 4.935 Å, b = 4.935 Å, c = 25.124 Å, α = 90.00°, β = 90.00° and γ = 90.00°. The asymmetric unit holds Sr at (0.000, 0.000, 0.000), Ca at (0.232, 0.250, 0.625) and Ti at (0.000, 0.000, 0.500).

=====

This record from the Alexandria database describes a relaxed As2ClOF crystal. The functional is PBE.

As for the formation energy without anion corrections: 0.198 eV per atom.

It has space group P4/mmm (No. 123), with a = 4.229 Å, b = 4.229 Å, c = 4.863 Å, α = 90.00°, β = 90.00° and γ = 90.00°. The asymmetric unit holds As at (0.000, 0.500, 0.000), Cl at (0.000, 0.000, 0.500), O at (0.000, 0.000, 0.000) and F at (0.500, 0.500, 0.500).

=====

This record from the Alexandria database describes a relaxed YAlFe3 crystal. The functional is PBE.

For the excess energy over the best structure of this formula in the dataset, the calculation gives 1.187 eV/atom. The calculation puts the formation energy from the elements at 1.7264 eV/atom.

It has space group Pm-3m (No. 221), with a = 4.682 Å, b = 4.682 Å, c = 4.682 Å, α = 90.00°, β = 90.00° and γ = 90.00°. The asymmetric unit holds Y at (0.000, 0.000, 0.000), Al at (0.500, 0.500, 0.500) and Fe at (0.000, 0.000, 0.500).

=====

This record from the Alexandria database describes a relaxed LaAl2Ag2 crystal. The functional is PBE.

The calculation puts the formation energy from the elements at -0.1395 eV/atom.

It has space group P4/mbm (No. 127), with a = 8.355 Å, b = 8.355 Å, c = 2.932 Å, α = 90.00°, β = 90.00° and γ = 90.00°. The asymmetric unit holds La at (0.000, 0.000, 0.000), Al at (0.168, 0.332, 0.500) and Ag at (0.125, 0.625, 0.000).

=====

This record from the Alexandria database describes a relaxed Zr2CoSi crystal. The functional is PBE.

As for the formation energy without anion corrections: -0.644 eV per atom.

It has space group P2_1/m (No. 11), with a = 5.412 Å, b = 3.719 Å, c = 7.433 Å, α = 90.00°, β = 110.82° and γ = 90.00°. The asymmetric unit holds Zr at (0.211, 0.250, 0.441), Zr at (0.215, 0.250, 0.912), Co at (0.357, 0.750, 0.709) and Si at (0.344, 0.750, 0.209).

=====

The following raw total energy values (in eV/atom) correspond, in order, to the records above: -0.96 -4.05 -5.35 -2.69 -3.40 -5.39 -3.76 -8.05.